Entry 1:
DFT (SCAN) results for SrSc3Ni at its PBEsol-relaxed geometry.

Cell lengths 5.021, 5.021, 5.021 Å; angles 90.00, 90.00, 90.00 degrees
Space group Pm-3m (No. 221)
One atom of each set of equivalent atoms:
Sr 0.000 0.000 0.000 (multiplicity 1)
Sc 0.000 0.500 0.500 (multiplicity 3)
Ni 0.500 0.500 0.500 (multiplicity 1)

Computed properties:
Calculated total energy   -16.2704 eV/atom
DFT formation energy   -38 meV per atom

---

Entry 2:
DFT (SCAN) results for Sc2TaNi at its PBEsol-relaxed geometry.

Cell lengths 10.646, 2.999, 4.942 Å; angles 90.00, 115.71, 90.00 degrees
Space group Cm (No. 8)
One atom of each set of equivalent atoms:
Sc 0.000 0.000 0.000 (multiplicity 2)
Sc 0.200 0.000 0.646 (multiplicity 2)
Ta 0.418 0.000 0.426 (multiplicity 2)
Ni 0.218 0.500 0.086 (multiplicity 2)

Computed properties:
Calculated total energy   -27.8869 eV/atom
Energy relative to the lowest polymorph listed for this composition   0 meV per atom
DFT formation energy   -79 meV per atom

---

Entry 3:
DFT (SCAN) results for ScTaNi2 at its PBEsol-relaxed geometry.

Cell lengths 3.011, 4.078, 5.007 Å; angles 90.00, 106.86, 90.00 degrees
Space group Pm (No. 6)
One atom of each set of equivalent atoms:
Sc 0.000 0.000 0.000 (multiplicity 1)
Ta 0.722 0.500 0.433 (multiplicity 1)
Ni 0.274 0.000 0.537 (multiplicity 1)
Ni 0.438 0.500 0.874 (multiplicity 1)

Computed properties:
Calculated total energy   -28.6386 eV/atom
DFT formation energy   -347 meV per atom

---

Entry 4:
DFT (SCAN) results for ScTa2Ni at its PBEsol-relaxed geometry.

Cell lengths 2.939, 2.939, 7.741 Å; angles 90.00, 90.00, 90.00 degrees
Space group P4mm (No. 99)
One atom of each set of equivalent atoms:
Sc 0.000 0.000 0.000 (multiplicity 1)
Ta 0.000 0.000 0.565 (multiplicity 1)
Ta 0.500 0.500 0.291 (multiplicity 1)
Ni 0.500 0.500 0.765 (multiplicity 1)

Computed properties:
Calculated total energy   -40.9378 eV/atom
Energy relative to the lowest polymorph listed for this composition   0 meV per atom
DFT formation energy   -44 meV per atom

---

Entry 5:
DFT (SCAN) results for Sc2TaNi at its PBEsol-relaxed geometry.

Cell lengths 2.9608, 2.9608, 28.6917 Å; angles 90.00, 90.00, 120.00 degrees
Space group R-3m (No. 166, hexagonal axes)
One atom of each set of equivalent atoms:
Sc 0.0000 0.0000 0.0983 (multiplicity 6)
Ta 0.0000 0.0000 0.0000 (multiplicity 3)
Ni 0.0000 0.0000 0.5000 (multiplicity 3)

Computed properties:
Calculated total energy   -27.4484 eV/atom
Energy relative to the lowest polymorph listed for this composition   438 meV per atom
DFT formation energy   359 meV per atom

---

Entry 6:
DFT (SCAN) results for ScTa2Ni at its PBEsol-relaxed geometry.

Cell lengths 3.042, 4.822, 9.059 Å; angles 90.00, 90.00, 90.00 degrees
Space group Imm2 (No. 44)
One atom of each set of equivalent atoms:
Sc 0.000 0.000 0.000 (multiplicity 2)
Ta 0.000 0.000 0.540 (multiplicity 2)
Ta 0.000 0.500 0.780 (multiplicity 2)
Ni 0.000 0.500 0.261 (multiplicity 2)

Computed properties:
Calculated total energy   -40.7853 eV/atom
Energy relative to the lowest polymorph listed for this composition   153 meV per atom
DFT formation energy   109 meV per atom

---

Entry 7:
DFT (SCAN) results for ScTa2Ni at its PBEsol-relaxed geometry.

Cell lengths 5.331, 9.344, 2.809 Å; angles 90.00, 109.34, 90.00 degrees
Space group C2/m (No. 12)
One atom of each set of equivalent atoms:
Sc 0.000 0.000 0.000 (multiplicity 2)
Ta 0.250 0.250 0.500 (multiplicity 4)
Ni 0.000 0.500 0.000 (multiplicity 2)

Computed properties:
Calculated total energy   -40.7526 eV/atom
Energy relative to the lowest polymorph listed for this composition   185 meV per atom
DFT formation energy   142 meV per atom

---

Entry 8:
DFT (SCAN) results for ScTaNi6 at its PBEsol-relaxed geometry.

Cell lengths 7.270, 10.269, 10.287 Å; angles 90.00, 90.00, 90.00 degrees
Space group Cmmm (No. 65)
One atom of each set of equivalent atoms:
Sc 0.000 0.000 0.248 (multiplicity 4)
Sc 0.000 0.249 0.000 (multiplicity 4)
Ta 0.000 0.249 0.500 (multiplicity 4)
Ta 0.000 0.500 0.246 (multiplicity 4)
Ni 0.000 0.000 0.000 (multiplicity 2)
Ni 0.000 0.000 0.500 (multiplicity 2)
Ni 0.000 0.252 0.255 (multiplicity 8)
Ni 0.000 0.500 0.000 (multiplicity 2)
Ni 0.000 0.500 0.500 (multiplicity 2)
Ni 0.246 0.376 0.128 (multiplicity 16)
Ni 0.247 0.374 0.378 (multiplicity 16)

Computed properties:
Calculated total energy   -22.6206 eV/atom
DFT formation energy   -388 meV per atom

---

Entry 9:
DFT (SCAN) results for ScTa2Ni at its PBEsol-relaxed geometry.

Cell lengths 2.859, 4.683, 5.076 Å; angles 90.00, 101.55, 90.00 degrees
Space group P2/m (No. 10)
One atom of each set of equivalent atoms:
Sc 0.000 0.000 0.000 (multiplicity 1)
Ta 0.289 0.500 0.740 (multiplicity 2)
Ni 0.500 0.000 0.500 (multiplicity 1)

Computed properties:
Calculated total energy   -40.7876 eV/atom
Energy relative to the lowest polymorph listed for this composition   150 meV per atom
DFT formation energy   107 meV per atom

---

Entry 10:
DFT (SCAN) results for Sc2TcNi at its PBEsol-relaxed geometry.

Cell lengths 3.234, 4.294, 9.223 Å; angles 90.00, 90.00, 90.00 degrees
Space group Imm2 (No. 44)
One atom of each set of equivalent atoms:
Sc 0.000 0.000 0.000 (multiplicity 2)
Sc 0.000 0.500 0.225 (multiplicity 2)
Tc 0.000 0.500 0.757 (multiplicity 2)
Ni 0.000 0.000 0.476 (multiplicity 2)

Computed properties:
Calculated total energy   -20.1401 eV/atom
Energy relative to the lowest polymorph listed for this composition   144 meV per atom
DFT formation energy   -213 meV per atom

---

Entry 11:
DFT (SCAN) results for ScTcNi2 at its PBEsol-relaxed geometry.

Cell lengths 6.008, 6.008, 6.008 Å; angles 90.00, 90.00, 90.00 degrees
Space group Fm-3m (No. 225)
One atom of each set of equivalent atoms:
Sc 0.000 0.000 0.000 (multiplicity 4)
Tc 0.000 0.000 0.500 (multiplicity 4)
Ni 0.250 0.250 0.250 (multiplicity 8)

Computed properties:
Calculated total energy   -20.4780 eV/atom
DFT formation energy   -67 meV per atom

---

Entry 12:
DFT (SCAN) results for ScTcNi6 at its PBEsol-relaxed geometry.

Cell lengths 7.202, 10.191, 10.193 Å; angles 90.00, 90.00, 90.00 degrees
Space group Cmmm (No. 65)
One atom of each set of equivalent atoms:
Sc 0.000 0.000 0.250 (multiplicity 4)
Sc 0.000 0.249 0.000 (multiplicity 4)
Tc 0.000 0.243 0.500 (multiplicity 4)
Tc 0.000 0.500 0.249 (multiplicity 4)
Ni 0.000 0.000 0.000 (multiplicity 2)
Ni 0.000 0.000 0.500 (multiplicity 2)
Ni 0.000 0.255 0.258 (multiplicity 8)
Ni 0.000 0.500 0.000 (multiplicity 2)
Ni 0.000 0.500 0.500 (multiplicity 2)
Ni 0.244 0.373 0.378 (multiplicity 16)
Ni 0.244 0.376 0.129 (multiplicity 16)

Computed properties:
Calculated total energy   -18.4229 eV/atom
DFT formation energy   -131 meV per atom

---

Entry 13:
DFT (SCAN) results for Sc2TcNi at its PBEsol-relaxed geometry.

Cell lengths 3.190, 3.190, 6.210 Å; angles 90.00, 90.00, 90.00 degrees
Space group P4/mmm (No. 123)
One atom of each set of equivalent atoms:
Sc 0.000 0.000 0.249 (multiplicity 2)
Tc 0.500 0.500 0.500 (multiplicity 1)
Ni 0.500 0.500 0.000 (multiplicity 1)

Computed properties:
Calculated total energy   -20.2772 eV/atom
Energy relative to the lowest polymorph listed for this composition   7 meV per atom
DFT formation energy   -350 meV per atom

---

Entry 14:
DFT (SCAN) results for Sc2TcNi at its PBEsol-relaxed geometry.

Cell lengths 6.303, 6.303, 6.303 Å; angles 90.00, 90.00, 90.00 degrees
Space group Fm-3m (No. 225)
One atom of each set of equivalent atoms:
Sc 0.250 0.250 0.250 (multiplicity 8)
Tc 0.000 0.000 0.000 (multiplicity 4)
Ni 0.000 0.000 0.500 (multiplicity 4)

Computed properties:
Calculated total energy   -20.2845 eV/atom
Energy relative to the lowest polymorph listed for this composition   0 meV per atom
DFT formation energy   -358 meV per atom

---

Entry 15:
DFT (SCAN) results for ScNiTe2 at its PBEsol-relaxed geometry.

Cell lengths 4.716, 4.716, 3.530 Å; angles 90.00, 90.00, 90.00 degrees
Space group P4/mmm (No. 123)
One atom of each set of equivalent atoms:
Sc 0.000 0.000 0.000 (multiplicity 1)
Ni 0.500 0.500 0.000 (multiplicity 1)
Te 0.000 0.500 0.500 (multiplicity 2)

Computed properties:
Calculated total energy   -26.5951 eV/atom
Energy relative to the lowest polymorph listed for this composition   318 meV per atom
ΔE_f (raw)   -35 kJ/mol of atoms

---

Entry 16:
DFT (SCAN) results for ScNiTe2 at its PBEsol-relaxed geometry.

Cell lengths 4.0321, 4.0321, 20.3262 Å; angles 90.00, 90.00, 120.00 degrees
Space group R3m (No. 160, hexagonal axes)
One atom of each set of equivalent atoms:
Sc 0.0000 0.0000 0.0000 (multiplicity 3)
Ni 0.0000 0.0000 0.7391 (multiplicity 3)
Te 0.0000 0.0000 0.2508 (multiplicity 3)
Te 0.0000 0.0000 0.4394 (multiplicity 3)

Computed properties:
Calculated total energy   -26.9132 eV/atom
Energy relative to the lowest polymorph listed for this composition   0 meV per atom
ΔE_f (raw)   -66 kJ/mol of atoms

---

Entry 17:
DFT (SCAN) results for Sc2Ni2Te at its PBEsol-relaxed geometry.

Cell lengths 4.311, 4.311, 9.860 Å; angles 90.00, 90.00, 90.00 degrees
Space group I4/mmm (No. 139)
One atom of each set of equivalent atoms:
Sc 0.000 0.500 0.250 (multiplicity 4)
Ni 0.000 0.000 0.113 (multiplicity 4)
Te 0.000 0.000 0.500 (multiplicity 2)

Computed properties:
Calculated total energy   -19.9695 eV/atom
ΔE_f (raw)   -34 kJ/mol of atoms

---

Entry 18:
DFT (SCAN) results for ScNi2Te2 at its PBEsol-relaxed geometry.

Cell lengths 3.682, 3.682, 13.506 Å; angles 90.00, 90.00, 90.00 degrees
Space group I4/mmm (No. 139)
One atom of each set of equivalent atoms:
Sc 0.000 0.000 0.000 (multiplicity 2)
Ni 0.000 0.500 0.250 (multiplicity 4)
Te 0.000 0.000 0.378 (multiplicity 4)

Computed properties:
Calculated total energy   -24.6149 eV/atom
ΔE_f (raw)   -38 kJ/mol of atoms

---

Entry 19:
DFT (SCAN) results for ScNiTe2 at its PBEsol-relaxed geometry.

Cell lengths 3.755, 3.755, 6.116 Å; angles 90.00, 90.00, 90.00 degrees
Space group P4mm (No. 99)
One atom of each set of equivalent atoms:
Sc 0.000 0.000 0.000 (multiplicity 1)
Ni 0.500 0.500 0.709 (multiplicity 1)
Te 0.000 0.000 0.559 (multiplicity 1)
Te 0.500 0.500 0.134 (multiplicity 1)

Computed properties:
Calculated total energy   -26.8324 eV/atom
Energy relative to the lowest polymorph listed for this composition   81 meV per atom
ΔE_f (raw)   -58 kJ/mol of atoms

---

Entry 20:
DFT (SCAN) results for ScZnNi2Te at its PBEsol-relaxed geometry.

Cell lengths 4.518, 4.518, 5.029 Å; angles 90.00, 90.00, 90.00 degrees
Space group P4/mmm (No. 123)
One atom of each set of equivalent atoms:
Sc 0.000 0.000 0.000 (multiplicity 1)
Zn 0.500 0.500 0.000 (multiplicity 1)
Ni 0.000 0.500 0.500 (multiplicity 2)
Te 0.500 0.500 0.500 (multiplicity 1)

Computed properties:
Calculated total energy   -18.9151 eV/atom
ΔE_f (raw)   54 kJ/mol of atoms